This record from the Alexandria database describes a crystal of TaRe2Tc relaxed with PBEsol. The functional is SCAN.

abc: 4.410 4.410 4.410
angles: 60.00 60.00 60.00
Element x y z (fractional)
Re: 0.750 0.750 0.750
Re: 0.000 0.000 0.000
Ta: 0.500 0.500 0.500
Tc: 0.250 0.250 0.250

## Properties
As for the magnetic moment: 0.0 μB per formula unit. The value obtained for the formation energy is -0.11 eV per atom. As for the energy above the lowest structure with this stoichiometry: 0.015 eV/atom.



This record from the Alexandria database describes a crystal of In5Pb relaxed with PBEsol. The functional is SCAN.

abc: 3.323 3.323 14.221
angles: 90.00 90.00 90.00
Element x y z (fractional)
In: 0.000 0.000 0.825
In: 0.500 0.500 0.662
In: 0.000 0.000 0.175
In: 0.500 0.500 0.338
In: 0.000 0.000 0.500
Pb: 0.500 0.500 0.000

## Properties
As for the magnetic moment: 0.0 μB per formula unit. The value obtained for the formation energy is 0.06 eV per atom.



This record from the Alexandria database describes a crystal of LiSF3 relaxed with PBEsol. The functional is SCAN.

abc: 4.208 4.208 4.208
angles: 90.00 90.00 90.00
Element x y z (fractional)
Li: 0.500 0.500 0.500
F: 0.500 0.000 0.000
F: 0.000 0.000 0.500
F: 0.000 0.500 0.000
S: 0.000 0.000 0.000

## Properties
As for the magnetic moment: 0.0 μB per formula unit. The value obtained for the uncorrected formation energy is -1.08 eV per atom. As for the energy above the lowest structure with this stoichiometry: 0.000 eV/atom.



This record from the Alexandria database describes a crystal of BaDyCo4O7 relaxed with PBEsol. The functional is SCAN.

abc: 6.220 6.220 10.111
angles: 90.00 90.00 120.00
Last column: magnetic moment on the atom in μB.
Element x y z (fractional)
O: 0.341 0.171 0.502  0.24
O: 0.659 0.829 0.002  0.24
O: 0.171 0.829 0.002  0.24
O: 0.985 0.492 0.255  0.24
O: 0.000 0.000 0.227  0.33
O: 0.171 0.341 0.002  0.24
O: 0.829 0.171 0.502  0.24
O: 0.508 0.492 0.255  0.24
O: 0.829 0.659 0.502  0.24
O: 0.015 0.508 0.755  0.24
O: 0.492 0.985 0.755  0.24
O: 0.508 0.015 0.255  0.24
O: 0.492 0.508 0.755  0.24
O: 0.000 0.000 0.727  0.33
Co: 0.681 0.841 0.816  2.67
Co: 0.319 0.159 0.316  2.67
Co: 0.000 0.000 0.019  2.63
Co: 0.841 0.159 0.316  2.67
Co: 0.841 0.681 0.316  2.67
Co: 0.159 0.319 0.816  2.67
Co: 0.000 0.000 0.519  2.63
Co: 0.159 0.841 0.816  2.67
Dy: 0.333 0.667 0.138  0.10
Dy: 0.667 0.333 0.638  0.10
Ba: 0.667 0.333 0.020  -0.02
Ba: 0.333 0.667 0.520  -0.02

## Properties
As for the magnetic moment: 13.0 μB per formula unit. The value obtained for the uncorrected formation energy is -1.96 eV per atom.



This record from the Alexandria database describes a crystal of TcRhCl relaxed with PBEsol. The functional is SCAN.

abc: 3.062 3.964 3.964
angles: 120.00 90.00 90.00
Element x y z (fractional)
Rh: 0.700 0.333 0.667
Tc: 0.234 0.667 0.333
Cl: 0.067 0.000 0.000

## Properties
As for the magnetic moment: 0.0 μB per formula unit. The value obtained for the uncorrected formation energy is 0.58 eV per atom. As for the energy above the lowest structure with this stoichiometry: 0.330 eV/atom.



This record from the Alexandria database describes a crystal of NaFeBO3 relaxed with PBEsol. The functional is SCAN.

abc: 5.010 5.102 5.505
angles: 84.87 79.51 60.60
Last column: magnetic moment on the atom in μB.
Element x y z (fractional)
Fe: 0.000 0.000 0.500  3.65
Fe: 0.000 0.000 0.000  3.65
Na: 0.665 0.670 0.250  0.00
Na: 0.335 0.330 0.750  0.00
O: 0.373 0.820 0.687  0.09
O: 0.193 0.180 0.187  0.09
O: 0.823 0.355 0.750  0.07
O: 0.177 0.645 0.250  0.07
O: 0.627 0.180 0.313  0.09
O: 0.807 0.820 0.813  0.09
B: 0.667 0.666 0.750  0.03
B: 0.333 0.334 0.250  0.03

## Properties
As for the magnetic moment: 4.0 μB per formula unit. The value obtained for the uncorrected formation energy is -2.03 eV per atom.



This record from the Alexandria database describes a crystal of Ba2YSi relaxed with PBEsol. The functional is SCAN.

abc: 4.581 5.030 7.107
angles: 110.73 90.00 90.00
Last column: magnetic moment on the atom in μB.
Element x y z (fractional)
Y: 0.500 0.576 0.153  0.06
Si: 0.000 0.694 0.389  0.01
Ba: 0.500 0.265 0.530  0.02
Ba: 0.000 0.964 0.928  0.03

## Properties
As for the magnetic moment: 0.3 μB per formula unit. The value obtained for the uncorrected formation energy is -0.14 eV per atom.



This record from the Alexandria database describes a crystal of Sc2BeP relaxed with PBEsol. The functional is SCAN.

abc: 4.077 4.697 4.077
angles: 115.72 90.00 115.72
Element x y z (fractional)
P: 0.000 0.000 0.000
Sc: 0.250 0.500 0.750
Sc: 0.750 0.500 0.250
Be: 0.500 0.000 0.500

## Properties
As for the magnetic moment: 0.0 μB per formula unit. The value obtained for the formation energy is -0.50 eV per atom. As for the energy above the lowest structure with this stoichiometry: 0.437 eV/atom.



This record from the Alexandria database describes a crystal of VNi3Sb2P6O24 relaxed with PBEsol. The functional is SCAN.

abc: 8.415 8.415 8.698
angles: 61.07 61.07 60.00
Last column: magnetic moment on the atom in μB.
Element x y z (fractional)
O: 0.474 0.863 0.932  0.01
O: 0.088 0.907 0.748  0.01
O: 0.130 0.264 0.073  0.03
O: 0.264 0.534 0.073  0.03
O: 0.381 0.987 0.432  0.00
O: 0.987 0.200 0.432  0.00
O: 0.829 0.616 0.577  0.00
O: 0.437 0.539 0.248  0.01
O: 0.200 0.381 0.432  0.00
O: 0.907 0.257 0.748  0.01
O: 0.090 0.740 0.273  0.00
O: 0.978 0.829 0.577  0.00
O: 0.731 0.474 0.932  0.01
O: 0.534 0.130 0.073  0.03
O: 0.257 0.088 0.748  0.01
O: 0.539 0.776 0.248  0.01
O: 0.897 0.090 0.273  0.00
O: 0.616 0.978 0.577  0.00
O: 0.740 0.897 0.273  0.00
O: 0.567 0.479 0.740  0.03
O: 0.479 0.213 0.740  0.03
O: 0.213 0.567 0.740  0.03
O: 0.863 0.731 0.932  0.01
O: 0.776 0.437 0.248  0.01
Ni: 0.646 0.646 0.062  1.35
Ni: 0.355 0.355 0.935  1.74
Ni: 0.150 0.150 0.549  1.46
P: 0.749 0.465 0.755  0.01
P: 0.031 0.749 0.755  0.01
P: 0.465 0.031 0.755  0.01
P: 0.962 0.249 0.251  0.01
P: 0.538 0.962 0.251  0.01
P: 0.249 0.538 0.251  0.01
Sb: 0.505 0.505 0.484  0.01
Sb: 0.016 0.016 0.951  0.00
V: 0.856 0.856 0.431  0.09

## Properties
As for the magnetic moment: 5.1 μB per formula unit. The value obtained for the uncorrected formation energy is -2.05 eV per atom.



This record from the Alexandria database describes a crystal of YNbIr3 relaxed with PBEsol. The functional is SCAN.

abc: 4.740 4.740 4.740
angles: 90.00 90.00 90.00
Element x y z (fractional)
Ir: 0.000 0.000 0.500
Ir: 0.000 0.500 0.000
Ir: 0.500 0.000 0.000
Y: 0.500 0.500 0.500
Nb: 0.000 0.000 0.000

## Properties
As for the magnetic moment: 0.0 μB per formula unit. The value obtained for the formation energy is 0.53 eV per atom.



This record from the Alexandria database describes a crystal of KTl2In relaxed with PBEsol. The functional is SCAN.

abc: 4.127 5.398 6.363
angles: 115.10 108.92 90.00
Element x y z (fractional)
Tl: 0.015 0.015 0.030
Tl: 0.756 0.256 0.511
K: 0.247 0.747 0.495
In: 0.482 0.482 0.964

## Properties
As for the magnetic moment: 0.0 μB per formula unit. The value obtained for the formation energy is -0.06 eV per atom.



This record from the Alexandria database describes a crystal of BaAlPb2 relaxed with PBEsol. The functional is SCAN.

abc: 4.874 4.874 6.113
angles: 113.50 113.50 90.00
Element x y z (fractional)
Pb: 0.250 0.750 0.500
Pb: 0.750 0.250 0.500
Al: 0.500 0.500 0.000
Ba: 0.000 0.000 0.000

## Properties
As for the magnetic moment: 0.0 μB per formula unit. The value obtained for the formation energy is -0.19 eV per atom.